Pu3BePt3 | GGA-PBE | relaxed

a b c (Å): 10.5229 4.0504 14.3477
angles (deg): 90.00 108.65 90.00
Closest atoms and distances in Å follow each position.
Space group C2/m (No. 12)
Inequivalent atoms, fractional coordinates:
Pu 0.0125 0.0000 0.3930  7 Pt 2.96-3.19, 3 Be 3.01-3.03, 1 Pu 3.16
Pu 0.1012 0.0000 0.9189  7 Pt 2.88-3.13
Pu 0.2416 0.0000 0.2315  6 Pt 2.96-3.05, 2 Be 3.11
Be 0.2236 0.5000 0.3916  4 Pt 2.30-2.41
Pt 0.0323 0.5000 0.2477  1 Be 2.38
Pt 0.1238 0.5000 0.0777  2 Pt 2.84-2.89, 7 Pu 2.88-3.13
Pt 0.1819 0.5000 0.5471  3 Be 2.30-2.41

Results
**Crystal system**: monoclinic
**Total DFT energy (no corrections)**: -278.4 eV/cell
**Theoretical density**: 15.204 g/cm3

---

Pu2Be2Pt3 | GGA-PBE | relaxed

a b c (Å): 3.7556 6.6452 9.7079
angles (deg): 90.00 101.02 90.00
Closest atoms and distances in Å follow each position.
Space group P2_1/m (No. 11)
Inequivalent atoms, fractional coordinates:
Pu 0.0067 0.2500 0.0062  8 Pt 2.94-3.29, 1 Pu 2.99
Pu 0.1564 0.7500 0.3080  6 Be 2.82-2.95, 4 Pt 2.89-2.90, 1 Pu 2.99
Be 0.2817 0.5382 0.5646  2 Be 2.30, 4 Pt 2.33-2.43
Pt 0.2044 0.2500 0.4077  6 Be 2.36-2.43
Pt 0.4023 0.5367 0.8086  1 Be 2.33

Results
**Crystal system**: monoclinic
**Total DFT energy (no corrections)**: -116.7 eV/cell
**Theoretical density**: 15.240 g/cm3

---

PuBePt2 | GGA-PBE | relaxed

a b c (Å): 2.9091 2.9091 7.4302
angles (deg): 90.00 90.00 90.00
Closest atoms and distances in Å follow each position.
Space group P4/mmm (No. 123)
Inequivalent atoms, fractional coordinates:
Pu 0.0000 0.0000 0.0000  4 Pu 2.91, 8 Pt 3.09
Be 0.0000 0.0000 0.5000  8 Pt 2.49
Pt 0.5000 0.5000 0.3110  4 Be 2.49

Results
**Crystal system**: tetragonal
**Total DFT energy (no corrections)**: -32.7 eV/cell
**Offset from the most stable computed form**: 83.2 meV/atom
**Theoretical density**: 16.985 g/cm3